BaLiI2N (GGA-PBEsol, optimized geometry); N(E_F) = 1.1 states/eV/cell; ΔE_f (raw) = -424 meV per atom; symmetry = P4/mmm, No. 123
1.0
-0.278 -2.398 -3.513
5.272 -1.897 0.877
-2.057 -4.288 3.089
I Ba N Li
2 1 1 1
Direct
0.000 0.500 0.000
0.000 0.000 0.500
0.500 0.500 0.500
0.500 0.000 0.000
0.000 0.000 0.000

***

LiYMo2O8 (GGA-PBEsol, optimized geometry); N(E_F) = 0.0 states/eV/cell; ΔE_f (raw) = -2434 meV per atom; symmetry = P-1, No. 2
1.0
5.123 0.007 0.071
-2.541 6.118 -0.110
-1.544 -2.936 9.752
O Mo Li Y
16 4 2 2
Direct
0.171 0.316 0.934
0.792 0.566 0.569
0.909 0.162 0.168
0.728 0.498 0.291
0.208 0.434 0.431
0.628 0.112 0.413
0.632 0.929 0.840
0.091 0.838 0.832
0.028 0.954 0.363
0.368 0.071 0.160
0.272 0.502 0.709
0.829 0.684 0.066
0.372 0.888 0.587
0.304 0.667 0.233
0.696 0.333 0.767
0.972 0.046 0.637
0.157 0.713 0.684
0.843 0.287 0.316
0.876 0.157 0.796
0.124 0.843 0.204
0.684 0.649 0.876
0.316 0.351 0.124
0.374 0.234 0.562
0.626 0.766 0.438

***

ZnSbF5 (GGA-PBEsol, optimized geometry); N(E_F) = 0.0 states/eV/cell; ΔE_f (raw) = -2311 meV per atom; energy above the most stable polymorph in this dataset = 0.0 meV per atom; symmetry = P2_1/c, No. 14
1.0
5.615 0.046 0.000
-1.557 6.885 0.000
0.000 0.000 10.036
Sb F Zn
4 20 4
Direct
0.776 0.828 0.724
0.224 0.172 0.276
0.724 0.672 0.224
0.276 0.328 0.776
0.967 0.681 0.064
0.402 0.555 0.348
0.533 0.819 0.564
0.187 0.888 0.319
0.313 0.612 0.819
0.098 0.945 0.848
0.033 0.319 0.936
0.458 0.650 0.084
0.687 0.388 0.181
0.467 0.181 0.436
0.602 0.960 0.895
0.598 0.445 0.652
0.958 0.150 0.416
0.102 0.460 0.605
0.898 0.540 0.395
0.398 0.040 0.105
0.902 0.055 0.152
0.813 0.112 0.681
0.042 0.850 0.584
0.542 0.350 0.916
0.275 0.810 0.976
0.725 0.190 0.024
0.775 0.310 0.524
0.225 0.690 0.476

***

TlInBr2 (GGA-PBEsol, optimized geometry); N(E_F) = 0.0 states/eV/cell; ΔE_f (raw) = -663 meV per atom; energy above the most stable polymorph in this dataset = 28.2 meV per atom; symmetry = R-3m, No. 166
1.0
-2.936 1.910 -2.990
-4.430 0.526 1.140
-0.925 7.583 2.206
Br Tl In
2 1 1
Direct
0.749 0.749 0.753
0.251 0.251 0.247
0.500 0.500 0.500
0.000 0.000 0.000

***

HoCoSi2 (GGA-PBEsol, optimized geometry); N(E_F) = 4.2 states/eV/cell; ΔE_f (raw) = -866 meV per atom; symmetry = Cmcm, No. 63
1.0
3.931 0.000 0.000
0.000 3.949 0.000
0.000 1.975 8.041
Si Ho Co
4 2 2
Direct
0.250 0.750 0.500
0.750 0.250 0.500
0.250 0.457 0.085
0.750 0.543 0.915
0.250 0.108 0.784
0.750 0.892 0.216
0.250 0.321 0.357
0.750 0.679 0.643

***

Cd2ReP (GGA-PBEsol, optimized geometry); N(E_F) = 3.0 states/eV/cell; energy of formation = 789 meV/atom; symmetry = F-43m, No. 216
1.0
4.545 0.000 0.000
2.272 3.936 0.000
2.272 1.312 3.711
Re Cd P
1 2 1
Direct
0.250 0.250 0.250
0.000 0.000 0.000
0.750 0.750 0.750
0.500 0.500 0.500

***

B6Pb (GGA-PBEsol, optimized geometry); energy of formation = 119 meV/atom; symmetry = Pm-3m, No. 221
1.0
-4.012 -0.338 1.188
-0.683 -2.759 -3.089
1.029 -3.145 2.582
B Pb
6 1
Direct
0.500 0.203 0.500
0.797 0.500 0.500
0.203 0.500 0.500
0.500 0.797 0.500
0.500 0.500 0.203
0.500 0.500 0.797
0.000 0.000 0.000

***

TlFeMo (GGA-PBEsol, optimized geometry); N(E_F) = 2.5 states/eV/cell; energy of formation = 457 meV/atom; symmetry = I4mm, No. 107
1.0
2.953 0.000 0.000
0.000 2.953 0.000
-1.476 -1.476 5.454
Mo Tl Fe
1 1 1
Direct
0.638 0.638 0.276
0.341 0.341 0.682
0.021 0.021 0.042

***

Pb8Cl (GGA-PBEsol, optimized geometry); N(E_F) = 4.4 states/eV/cell; ΔE_f (raw) = -91 meV per atom; symmetry = I4/mmm, No. 139
1.0
-1.600 0.472 4.636
-5.610 -5.077 1.199
4.093 -4.654 4.504
Pb Cl
8 1
Direct
0.669 0.662 0.000
0.333 0.667 0.667
0.000 0.667 0.333
0.669 0.000 0.662
0.331 0.000 0.338
0.000 0.333 0.667
0.667 0.333 0.333
0.331 0.338 0.000
0.000 0.000 0.000

***

Sr2MgCu (GGA-PBEsol, optimized geometry); N(E_F) = 3.4 states/eV/cell; energy of formation = 32 meV/atom; symmetry = P4/mmm, No. 123
1.0
3.745 0.000 0.000
0.000 3.745 0.000
0.000 0.000 8.469
Mg Sr Cu
1 2 1
Direct
0.500 0.500 0.500
0.000 0.000 0.787
0.000 0.000 0.213
0.500 0.500 0.000

***

TlAu2 (GGA-PBEsol, optimized geometry); N(E_F) = 3.7 states/eV/cell; energy of formation = 17 meV/atom; energy above the most stable polymorph in this dataset = 0.0 meV per atom; symmetry = Pnma, No. 62
1.0
-4.536 0.611 0.379
-0.769 -2.490 -5.197
-0.753 -8.045 3.965
Tl Au
4 8
Direct
0.750 0.902 0.135
0.250 0.598 0.635
0.250 0.098 0.865
0.750 0.402 0.365
0.750 0.227 0.695
0.250 0.273 0.195
0.750 0.359 0.008
0.750 0.859 0.492
0.250 0.773 0.305
0.750 0.727 0.805
0.250 0.641 0.992
0.250 0.141 0.508

***

TaH6C2SeCl5 (GGA-PBEsol, optimized geometry); N(E_F) = 0.0 states/eV/cell; E = -149.62 eV/cell; symmetry = Cmc2_1, No. 36
1.0
7.271 0.113 0.000
-2.695 6.754 0.000
0.000 0.000 11.151
C Cl H Se Ta
4 10 12 2 2
Direct
0.616 0.733 0.492
0.384 0.267 0.992
0.733 0.616 0.992
0.267 0.384 0.492
0.491 0.951 0.810
0.827 0.173 0.012
0.951 0.491 0.310
0.979 0.021 0.753
0.281 0.719 0.113
0.719 0.281 0.613
0.049 0.509 0.810
0.509 0.049 0.310
0.021 0.979 0.253
0.173 0.827 0.512
0.313 0.360 0.036
0.687 0.640 0.536
0.147 0.275 0.442
0.209 0.463 0.557
0.791 0.537 0.057
0.463 0.209 0.057
0.853 0.725 0.942
0.275 0.147 0.942
0.360 0.313 0.536
0.725 0.853 0.442
0.537 0.791 0.557
0.640 0.687 0.036
0.569 0.431 0.876
0.431 0.569 0.376
0.206 0.794 0.307
0.794 0.206 0.807

***

no.,size of the total moment (μB/atom)
1,0.405
2,0.000
3,0.000
4,0.000
5,0.000
6,0.000
7,0.000
8,0.302
9,0.000
10,0.000
11,0.000
12,0.000